Entry 1:
DFT (GGA-PBE) results for a geometry-optimized BaInPt2 structure.

The space group is Pmma (No. 51) and the conventional cell measures 6.001, 5.558 and 13.306 Å, with angles of 90.00, 90.00 and 90.00 degrees. The distinct sites, in fractional coordinates, are Ba at (0.250, 0.000, 0.080), Ba at (0.250, 0.500, 0.390), In at (0.250, 0.000, 0.797), In at (0.250, 0.500, 0.825), Pt at (0.000, 0.000, 0.500), Pt at (0.000, 0.500, 0.000) and Pt at (0.250, 0.259, 0.631).

The calculation puts the formation energy from the elements at -0.4542 eV/atom.

***

Entry 2:
DFT (GGA-PBE) results for a geometry-optimized Ba2In6Pt structure.

The space group is P-3m1 (No. 164) and the conventional cell measures 7.0683, 7.0683 and 6.0642 Å, with angles of 90.00, 90.00 and 120.00 degrees. The distinct sites, in fractional coordinates, are Ba at (0.3333, 0.6667, 0.2059), In at (0.1672, 0.3345, 0.6963) and Pt at (0.0000, 0.0000, 0.0000).

The calculation puts the formation energy from the elements at -0.4367 eV/atom.

***

Entry 3:
DFT (GGA-PBE) results for a geometry-optimized BaIn3Pt2 structure.

The space group is R-3m (No. 166, hexagonal axes) and the conventional cell measures 8.8861, 8.8861 and 15.2651 Å, with angles of 90.00, 90.00 and 120.00 degrees. The distinct sites, in fractional coordinates, are Ba at (0.0000, 0.0000, 0.2220), In at (0.0151, 0.5076, 0.2632), Pt at (0.0000, 0.0000, 0.0000) and Pt at (0.0000, 0.5000, 0.0000).

The calculation puts the formation energy from the elements at -0.4045 eV/atom. For the polymorph energy (0 for the lowest one), the calculation gives 190 meV/atom.

***

Entry 4:
DFT (GGA-PBE) results for a geometry-optimized Ba2In3Pt4 structure.

The space group is Cmce (No. 64) and the conventional cell measures 6.251, 17.170 and 7.886 Å, with angles of 90.00, 90.00 and 90.00 degrees. The distinct sites, in fractional coordinates, are Ba at (0.000, 0.102, 0.090), In at (0.000, 0.000, 0.500), In at (0.250, 0.233, 0.750), Pt at (0.000, 0.176, 0.482) and Pt at (0.250, 0.070, 0.750).

The calculation puts the formation energy from the elements at -0.6253 eV/atom.

***

Entry 5:
DFT (GGA-PBE) results for a geometry-optimized Ba12In3Pt5 structure.

The space group is Ia-3d (No. 230) and the conventional cell measures 19.587, 19.587 and 19.587 Å, with angles of 90.00, 90.00 and 90.00 degrees. The distinct sites, in fractional coordinates, are Ba at (0.026, 0.059, 0.650), In at (0.000, 0.250, 0.125), Pt at (0.000, 0.000, 0.000) and Pt at (0.000, 0.250, 0.375).

The calculation puts the formation energy from the elements at -0.4167 eV/atom.

***

Entry 6:
DFT (GGA-PBE) results for a geometry-optimized Ba2InPt structure.

The space group is I-42d (No. 122) and the conventional cell measures 9.132, 9.132 and 7.217 Å, with angles of 90.00, 90.00 and 90.00 degrees. The distinct sites, in fractional coordinates, are Ba at (0.192, 0.750, 0.125), In at (0.000, 0.000, 0.500) and Pt at (0.000, 0.000, 0.000).

The calculation puts the formation energy from the elements at -0.2774 eV/atom.

***

> Which value of formation energy from the elements does entry 2 give?

-0.4367 eV/atom

***

> The lowest formation energy from the elements belongs to which entry?

Ba2In3Pt4

***

> Number 3 is which compound?

BaIn3Pt2